(1)
First-principles (PBE) data for an optimized crystal structure of CaSmAs, as listed in the Alexandria database.

The structure in POSCAR format:
```
CaSmAs
1.0
4.1830 0.0000 0.0000
-2.0915 3.5484 -0.7382
0.0000 -2.0388 13.8312
Sm Ca As
2 2 2
Direct
0.7546 0.5093 0.3805
0.2454 0.4907 0.6195
0.9227 0.8455 0.1316
0.0773 0.1545 0.8684
0.3405 0.6811 0.2587
0.6595 0.3189 0.7413
```

Output
The calculation puts the uncorrected energy at -4.628 eV per atom.

---

(2)
First-principles (PBE) data for an optimized crystal structure of Nb3Tc2Mo3, as listed in the Alexandria database.

The structure in POSCAR format:
```
Nb3Tc2Mo3
1.0
-2.4147 -0.4971 -2.0300
-0.2936 -6.7412 1.9999
-3.8338 4.8418 3.3748
Mo Nb Tc
3 3 2
Direct
0.0000 0.2067 0.0000
0.0000 0.0000 0.2067
0.0000 0.7933 0.7933
0.5000 0.5860 0.0000
0.5000 0.4140 0.4140
0.5000 0.0000 0.5860
0.0000 0.6667 0.3333
0.0000 0.3333 0.6667
```

Output
The calculation puts the uncorrected energy at -10.172 eV per atom.

---

(3)
First-principles (PBE) data for an optimized crystal structure of ZnFeReNi2, as listed in the Alexandria database.

The structure in POSCAR format:
```
ZnFeReNi2
1.0
4.1943 0.0000 0.0000
0.0000 4.3516 0.0000
0.0000 0.0000 4.1943
Zn Fe Ni Re
1 1 2 1
Direct
0.0000 0.5000 0.0000
0.0000 0.0000 0.0000
0.0000 0.0000 0.5000
0.5000 0.0000 0.0000
0.5000 0.5000 0.5000
```

Output
The calculation puts the uncorrected energy at -5.360 eV per atom.

---

(4)
First-principles (PBE) data for an optimized crystal structure of GaPd8Pt5, as listed in the Alexandria database.

The structure in POSCAR format:
```
GaPd8Pt5
1.0
-0.1732 -6.4750 -1.5652
5.0567 1.1530 4.1839
-5.7446 1.7081 2.9133
Pt Pd Ga
5 8 1
Direct
0.9447 0.4124 0.1375
0.4677 0.1928 0.0553
0.5000 0.0000 0.5000
0.7251 0.5876 0.5323
0.8625 0.8072 0.2749
0.2261 0.2263 0.3355
0.6645 0.8906 0.8908
0.1913 0.7905 0.6170
0.0002 0.1094 0.7739
0.8265 0.2095 0.4009
0.5991 0.4257 0.8087
0.3830 0.5743 0.1735
0.1092 0.7737 0.9998
0.2500 0.5000 0.7500
```

Output
The calculation puts the uncorrected energy at -5.317 eV per atom.

---

(5)
First-principles (PBE) data for an optimized crystal structure of Ac3AsO3, as listed in the Alexandria database.

The structure in POSCAR format:
```
Ac3AsO3
1.0
-0.7624 -6.8978 -2.3873
2.0919 -5.6060 4.2492
-6.4571 -4.4515 3.6436
As Ac O
2 6 6
Direct
0.6664 0.6664 0.0008
0.3336 0.3336 0.9992
0.9064 0.2570 0.2891
0.0936 0.7430 0.7109
0.2570 0.5475 0.2891
0.5475 0.9064 0.2891
0.4525 0.0936 0.7109
0.7430 0.4525 0.7109
0.5590 0.1983 0.3760
0.4410 0.8017 0.6240
0.1333 0.4410 0.6240
0.1983 0.8667 0.3760
0.8667 0.5590 0.3760
0.8017 0.1333 0.6240
```

Output
The calculation puts the uncorrected energy at -7.294 eV per atom.

---

(6)
First-principles (PBE) data for an optimized crystal structure of Ac3ErSe6, as listed in the Alexandria database.

The structure in POSCAR format:
```
Ac3ErSe6
1.0
-8.6340 0.5581 2.0967
-1.0974 -8.0225 -3.6998
2.0075 -3.5749 7.9021
Se Ac Er
12 6 2
Direct
0.3029 0.9215 0.0752
0.4176 0.1955 0.5444
0.0785 0.9248 0.6971
0.5824 0.8045 0.4556
0.4556 0.5824 0.8045
0.6971 0.0785 0.9248
0.9248 0.6971 0.0785
0.0752 0.3029 0.9215
0.8045 0.4556 0.5824
0.5444 0.4176 0.1955
0.9215 0.0752 0.3029
0.1955 0.5444 0.4176
0.5717 0.0792 0.2521
0.2521 0.5717 0.0792
0.7479 0.4283 0.9208
0.0792 0.2521 0.5717
0.4283 0.9208 0.7479
0.9208 0.7479 0.4283
0.0000 0.0000 0.0000
0.5000 0.5000 0.5000
```

Output
The calculation puts the uncorrected energy at -5.756 eV per atom.